Model one:
LiHfSbI2: PBEsol geometry, SCAN.

Lattice parameters (Å, degrees): 4.914 4.914 5.425 90.00 90.00 90.00
Last column: magnetic moment on the atom in μB.
Atoms (fractional coordinates):
Hf: 0.500 0.500 0.500  -0.24
Li: 0.000 0.000 0.000  0.01
Sb: 0.000 0.000 0.500  0.09
I: 0.000 0.500 0.000  0.04
I: 0.500 0.000 0.000  0.04

Results
M_tot	0.10	μB per formula unit


Model two:
LiHfSbI2: PBEsol geometry, SCAN.

Lattice parameters (Å, degrees): 5.572 5.633 5.633 90.00 90.00 90.00
Atoms (fractional coordinates):
I: 0.000 0.500 0.000
I: 0.000 0.000 0.500
Li: 0.500 0.500 0.500
Sb: 0.500 0.000 0.000
Hf: 0.000 0.000 0.000

Results
M_tot	0.00	μB per formula unit


Referenced to the most stable arrangement, the calculated values in meV/atom are model one 695; model two 0.


Model one:
HfTe2IO: PBEsol geometry, SCAN.

Lattice parameters (Å, degrees): 5.466 5.466 5.566 90.00 90.00 90.00
Last column: magnetic moment on the atom in μB.
Atoms (fractional coordinates):
Hf: 0.000 0.000 0.000  -0.05
Te: 0.000 0.500 0.000  0.22
Te: 0.500 0.000 0.000  0.22
O: 0.500 0.500 0.500  1.33
I: 0.000 0.000 0.500  0.07

Results
M_tot	2.40	μB per formula unit


Model two:
HfTe2IO: PBEsol geometry, SCAN.

Lattice parameters (Å, degrees): 3.895 5.732 5.732 90.00 90.00 90.00
Last column: magnetic moment on the atom in μB.
Atoms (fractional coordinates):
Te: 0.000 0.500 0.000  -0.05
Te: 0.000 0.000 0.500  -0.05
O: 0.500 0.000 0.000  0.01
Hf: 0.500 0.500 0.500  1.01
I: 0.000 0.000 0.000  0.04

Results
M_tot	1.61	μB per formula unit


Referenced to the most stable arrangement, the calculated values in meV/atom are model one 0; model two 288.